A plane-wave DFT calculation with PBE-GGA was carried out for a relaxed NaAcPb crystal.

Lattice parameters (Å, degrees): 5.0380 8.3938 8.3938 120.00 90.00 90.00
Fractional positions:
Na (0.0000, 0.7615, 0.7615)
Pb (0.5000, 0.0000, 0.0000)
Ac (0.5000, 0.5811, 0.0000)
Na (0.0000, 0.2385, 0.0000)
Na (0.0000, 0.0000, 0.2385)
Ac (0.5000, 0.4189, 0.4189)
Pb (0.0000, 0.3333, 0.6667)
Ac (0.5000, 0.0000, 0.5811)
Pb (0.0000, 0.6667, 0.3333)

Computed properties:
The value obtained for the distance to the lowest polymorph of the same formula is 0 meV per atom. The calculation puts the density of states at the Fermi level at 0.75 states/eV/f.u. The crystal system is hexagonal. The calculation puts the total magnetization at 0.000 μB per atom. The value obtained for the formation energy is -0.3953 eV/atom.